A.
# CsAg2I2

A geometry-optimized CsAg2I2 structure (PBE-GGA, the Alexandria database).

a = 5.734 Å, b = 5.734 Å, c = 10.877 Å
α = 90.00°, β = 90.00°, γ = 90.00°
Space group I4/mmm (No. 139)
One atom of each set of equivalent atoms:
Cs (0.000, 0.000, 0.000) x2
Ag (0.000, 0.000, 0.372) x4
I (0.000, 0.500, 0.250) x4

B.
# CsAg2I2

A geometry-optimized CsAg2I2 structure (PBE-GGA, the Alexandria database).

a = 9.316 Å, b = 9.316 Å, c = 4.503 Å
α = 90.00°, β = 90.00°, γ = 90.00°
Space group P4/mbm (No. 127)
One atom of each set of equivalent atoms:
Cs (0.000, 0.000, 0.000) x2
Ag (0.103, 0.397, 0.000) x4
I (0.240, 0.260, 0.500) x4

Most stable pick: A. Distance to second place: 1.4 kJ/mol of atoms.

A.
# CsAg3I

A geometry-optimized CsAg3I structure (PBE-GGA, the Alexandria database).

a = 5.829 Å, b = 5.829 Å, c = 5.829 Å
α = 90.00°, β = 90.00°, γ = 90.00°
Space group Pm-3m (No. 221)
One atom of each set of equivalent atoms:
Cs (0.000, 0.000, 0.000) x1
Ag (0.000, 0.500, 0.500) x3
I (0.500, 0.500, 0.500) x1

B.
# CsAg3I

A geometry-optimized CsAg3I structure (PBE-GGA, the Alexandria database).

a = 6.193 Å, b = 6.193 Å, c = 6.193 Å
α = 90.00°, β = 90.00°, γ = 90.00°
Space group Pm-3m (No. 221)
One atom of each set of equivalent atoms:
Cs (0.000, 0.000, 0.000) x1
Ag (0.000, 0.000, 0.500) x3
I (0.500, 0.500, 0.500) x1

Most stable pick: A. Distance to second place: 57.7 kJ/mol of atoms.

A.
# Cs2AgI3

A geometry-optimized Cs2AgI3 structure (PBE-GGA, the Alexandria database).

a = 10.877 Å, b = 5.137 Å, c = 21.008 Å
α = 90.00°, β = 90.00°, γ = 90.00°
Space group Pnma (No. 62)
One atom of each set of equivalent atoms:
Cs (0.085, 0.250, 0.210) x4
Cs (0.239, 0.750, 0.454) x4
Ag (0.143, 0.250, 0.636) x4
I (0.020, 0.750, 0.605) x4
I (0.128, 0.750, 0.069) x4
I (0.179, 0.250, 0.772) x4

B.
# Cs2AgI3

A geometry-optimized Cs2AgI3 structure (PBE-GGA, the Alexandria database).

a = 14.336 Å, b = 9.761 Å, c = 8.601 Å
α = 90.00°, β = 90.00°, γ = 90.00°
Space group Cmc2_1 (No. 36)
One atom of each set of equivalent atoms:
Cs (0.163, 0.172, 0.000) x8
Ag (0.000, 0.408, 0.484) x4
I (0.000, 0.127, 0.379) x4
I (0.142, 0.483, 0.731) x8

Most stable pick: A. Distance to second place: 6.6 kJ/mol of atoms.